A relaxed Rb3TbAg2Cl9 crystal. Source: the Alexandria database, functional PBE.

Cell and atoms, written as POSCAR:
```
Rb3TbAg2Cl9
1.0
7.4821 0.0000 0.0000
-3.7411 6.4797 0.0000
0.0000 0.0000 9.2907
Rb Tb Ag Cl
3 1 2 9
Cartesian
0.0000 0.0000 0.0000
0.0000 4.3198 6.4631
3.7411 2.1599 2.8276
0.0000 0.0000 4.6453
0.0000 4.3198 1.4389
3.7411 2.1599 7.8518
-1.8705 3.2399 0.0000
0.0000 2.1493 3.1084
-1.8797 5.4051 3.1084
1.8613 1.0746 6.1822
3.7411 0.0000 0.0000
1.8705 3.2399 0.0000
1.8797 5.4051 3.1084
5.6208 1.0746 6.1822
3.7411 4.3304 6.1822
```

Computed properties:
Spin magnetization ... 0.1 μB per formula unit
D(E_F) ... 7.29 states/eV/f.u.
DFT total energy ... -53.04 eV per cell
Symmetry ... No. 164

---

A relaxed RbTcAgCl6 crystal. Source: the Alexandria database, functional PBE.

Cell and atoms, written as POSCAR:
```
RbTcAgCl6
1.0
6.9239 0.0000 0.0000
-3.4619 5.9963 0.0000
0.0000 0.0000 13.8592
Rb Tc Ag Cl
2 2 2 12
Cartesian
0.0000 0.0000 0.0000
0.0000 0.0000 6.9296
0.0000 3.9975 3.4648
3.4619 1.9988 10.3944
0.0000 3.9975 10.3944
3.4619 1.9988 3.4648
-1.0636 2.3746 2.0896
-1.9372 3.8879 4.8400
1.0636 2.3746 4.8400
-0.8737 5.7300 2.0896
2.5883 0.2662 9.0192
1.5247 2.1084 11.7696
1.9372 3.8879 2.0896
0.8737 5.7300 4.8400
4.3356 0.2662 11.7696
2.3984 3.6216 9.0192
5.3992 2.1084 9.0192
4.5255 3.6216 11.7696
```

Computed properties:
Spin magnetization ... 2.9 μB per formula unit
DFT total energy ... -67.71 eV per cell
Symmetry ... No. 163

---

A relaxed Rb2TcAgCl6 crystal. Source: the Alexandria database, functional PBE.

Cell and atoms, written as POSCAR:
```
Rb2TcAgCl6
1.0
3.6164 2.0879 12.5672
-3.6164 2.0879 12.5672
0.0000 -4.1758 12.5672
Rb Tc Ag Cl
4 2 2 12
Cartesian
0.0000 0.0000 4.7870
0.0000 0.0000 11.2036
0.0000 0.0000 26.4979
0.0000 0.0000 32.9145
0.0000 0.0000 0.0000
0.0000 0.0000 18.8508
0.0000 0.0000 15.5404
0.0000 0.0000 22.1611
-1.7199 -0.9930 17.4506
0.0000 -2.2058 13.9798
-1.9103 1.1029 13.9798
-1.9103 -1.1029 23.7217
0.0000 -1.9860 20.2508
-1.7199 0.9930 20.2508
1.7199 -0.9930 17.4507
0.0000 1.9860 17.4507
1.9103 1.1029 13.9799
1.9103 -1.1029 23.7216
0.0000 2.2058 23.7216
1.7199 0.9930 20.2508
```

Computed properties:
Spin magnetization ... 2.0 μB per formula unit
D(E_F) ... 6.51 states/eV/f.u.
DFT total energy ... -74.85 eV per cell
Symmetry ... No. 166

---

Q: Which of these has the lowest spin magnetization?
A: Rb3TbAg2Cl9

---

Q: What is the formula in the first record?
A: Rb3TbAg2Cl9

---

Q: What is the DFT total energy in the third record?
A: -74.85 eV per cell